# NbAl2Ag PBE-GGA optimized geometry
data_NbAl2Ag
_chemical_formula_sum 'Nb3 Al6 Ag3'
_space_group_name_H-M_alt 'R -3 m'
_space_group_IT_number 166
_space_group_name_Hall '-R 3 2"'
_cell_length_a 2.9010
_cell_length_b 2.9010
_cell_length_c 29.6044
_cell_angle_alpha 90.00
_cell_angle_beta 90.00
_cell_angle_gamma 120.00
loop_
_atom_site_label
_atom_site_type_symbol
_atom_site_fract_x
_atom_site_fract_y
_atom_site_fract_z
Nb1 Nb 0.0000 0.0000 0.0000
Al1 Al 0.0000 0.0000 0.0909
Ag1 Ag 0.0000 0.0000 0.5000
# **Total DFT energy (no corrections)**: -4.844 eV/atom
# **Calculated formation energy**: 257 meV per atom
# **Total moment**: 0.000 μB per formula unit
# **Volume**: 215.8 Å³ per cell

# NbAl2Ag PBE-GGA optimized geometry
data_NbAl2Ag
_chemical_formula_sum 'Nb1 Al2 Ag1'
_space_group_name_H-M_alt 'P 4/m m m'
_space_group_IT_number 123
_space_group_name_Hall '-P 4 2'
_cell_length_a 2.8747
_cell_length_b 2.8747
_cell_length_c 8.1170
_cell_angle_alpha 90.00
_cell_angle_beta 90.00
_cell_angle_gamma 90.00
loop_
_atom_site_label
_atom_site_type_symbol
_atom_site_fract_x
_atom_site_fract_y
_atom_site_fract_z
Nb1 Nb 0.0000 0.0000 0.0000
Al1 Al 0.5000 0.5000 0.2498
Ag1 Ag 0.0000 0.0000 0.5000
# **Total DFT energy (no corrections)**: -5.284 eV/atom
# **Calculated formation energy**: -183 meV per atom
# **Total moment**: 0.000 μB per formula unit
# **Volume**: 67.1 Å³ per cell

# Nb3AlAg PBE-GGA optimized geometry
data_Nb3AlAg
_chemical_formula_sum 'Nb3 Al1 Ag1'
_space_group_name_H-M_alt 'P m -3 m'
_space_group_IT_number 221
_space_group_name_Hall '-P 4 2 3'
_cell_length_a 4.9008
_cell_length_b 4.9008
_cell_length_c 4.9008
_cell_angle_alpha 90.00
_cell_angle_beta 90.00
_cell_angle_gamma 90.00
loop_
_atom_site_label
_atom_site_type_symbol
_atom_site_fract_x
_atom_site_fract_y
_atom_site_fract_z
Nb1 Nb 0.0000 0.0000 0.5000
Al1 Al 0.5000 0.5000 0.5000
Ag1 Ag 0.0000 0.0000 0.0000
# **Total DFT energy (no corrections)**: -5.696 eV/atom
# **Calculated formation energy**: 1665 meV per atom
# **Total moment**: 0.000 μB per formula unit
# **Volume**: 117.7 Å³ per cell